i | The following is a PBE calculation of a geometry-optimized Ge3RuO structure, from Alexandria via LeMat-Bulk.

POSCAR file:
```
Ge3RuO
1.0
-1.552 0.697 -3.894
0.157 -4.169 -0.809
-3.953 -0.439 1.497
Ru Ge O
1 3 1
direct
0.500 0.500 0.500 Ru
0.000 0.500 0.000 Ge
0.000 0.000 0.500 Ge
0.500 0.000 0.000 Ge
0.000 0.000 0.000 O
```

**Spin magnetization**: 0.0 μB per cell
**Density of states at the Fermi level**: 2.4 states/eV per cell
**Symmetry**: Pm-3m

---

ii | The following is a PBE calculation of a geometry-optimized Ge3RuO structure, from Alexandria via LeMat-Bulk.

POSCAR file:
```
Ge3RuO
1.0
-1.579 3.321 -2.994
1.618 -2.536 -3.666
-4.168 -2.242 -0.289
Ru Ge O
1 3 1
direct
0.000 0.000 0.000 Ru
0.000 0.500 0.000 Ge
0.000 0.000 0.500 Ge
0.500 0.000 0.000 Ge
0.500 0.500 0.500 O
```

**Spin magnetization**: 0.0 μB per cell
**Density of states at the Fermi level**: 0.0 states/eV per cell
**Symmetry**: Pm-3m

---

i takes first place; second place is 2.4 kJ/mol of atoms up.

---

i | The following is a PBE calculation of a geometry-optimized GeS2O8 structure, from Alexandria via LeMat-Bulk.

POSCAR file:
```
GeS2O8
1.0
-7.098 0.467 -1.708
-4.307 -6.259 0.523
-5.277 0.093 6.291
Ge S O
2 4 16
direct
0.976 0.750 0.250 Ge
0.024 0.250 0.750 Ge
0.864 0.875 0.953 S
0.308 0.375 0.453 S
0.692 0.625 0.547 S
0.136 0.125 0.047 S
0.460 0.706 0.591 O
0.080 0.952 0.213 O
0.741 0.953 0.133 O
0.205 0.215 0.503 O
0.259 0.047 0.867 O
0.923 0.285 0.997 O
0.795 0.785 0.497 O
0.174 0.453 0.633 O
0.077 0.715 0.003 O
0.757 0.794 0.909 O
0.755 0.452 0.713 O
0.245 0.548 0.287 O
0.243 0.206 0.091 O
0.826 0.547 0.367 O
0.540 0.294 0.409 O
0.920 0.048 0.787 O
```

**Spin magnetization**: 0.0 μB per cell
**Density of states at the Fermi level**: 0.0 states/eV per cell
**Symmetry**: C2/c

---

ii | The following is a PBE calculation of a geometry-optimized GeS2O8 structure, from Alexandria via LeMat-Bulk.

POSCAR file:
```
GeS2O8
1.0
-4.205 -0.975 1.282
1.235 -5.783 1.778
1.100 0.430 6.061
Ge S O
1 2 8
direct
0.000 0.000 0.000 Ge
0.347 0.187 0.187 S
0.653 0.813 0.813 S
0.781 0.049 0.739 O
0.219 0.261 0.951 O
0.683 0.156 0.156 O
0.317 0.844 0.844 O
0.781 0.739 0.049 O
0.219 0.951 0.261 O
0.260 0.331 0.331 O
0.740 0.669 0.669 O
```

**Spin magnetization**: 0.0 μB per cell
**Density of states at the Fermi level**: 0.0 states/eV per cell
**Symmetry**: C2/m

---

i takes first place; second place is 3.0 kJ/mol of atoms up.

---

i | The following is a PBE calculation of a geometry-optimized Ge3SbO structure, from Alexandria via LeMat-Bulk.

POSCAR file:
```
Ge3SbO
1.0
4.586 0.000 0.000
0.000 4.586 0.000
0.000 0.000 4.586
Sb Ge O
1 3 1
direct
0.500 0.500 0.500 Sb
0.000 0.500 0.000 Ge
0.000 0.000 0.500 Ge
0.500 0.000 0.000 Ge
0.000 0.000 0.000 O
```

**Spin magnetization**: 0.0 μB per cell
**Density of states at the Fermi level**: 3.3 states/eV per cell
**Symmetry**: Pm-3m

---

ii | The following is a PBE calculation of a geometry-optimized Ge3SbO structure, from Alexandria via LeMat-Bulk.

POSCAR file:
```
Ge3SbO
1.0
-3.938 -0.244 3.645
-2.962 -2.922 -3.397
2.137 -4.501 2.007
Sb Ge O
1 3 1
direct
0.000 0.000 0.000 Sb
0.000 0.500 0.000 Ge
0.000 0.000 0.500 Ge
0.500 0.000 0.000 Ge
0.500 0.500 0.500 O
```

**Spin magnetization**: 0.0 μB per cell
**Density of states at the Fermi level**: 5.8 states/eV per cell
**Symmetry**: Pm-3m

---

i takes first place; second place is 132.6 kJ/mol of atoms up.

---

i | The following is a PBE calculation of a geometry-optimized ScGeO structure, from Alexandria via LeMat-Bulk.

POSCAR file:
```
ScGeO
1.0
-0.850 -3.525 -0.701
2.615 -1.101 2.366
-4.651 0.069 5.181
Sc Ge O
2 2 2
direct
0.206 0.348 0.022 Sc
0.704 0.847 0.301 Sc
0.207 0.349 0.598 Ge
0.706 0.849 0.725 Ge
0.205 0.848 0.162 O
0.705 0.348 0.162 O
```

**Spin magnetization**: 0.0 μB per cell
**Density of states at the Fermi level**: 0.7 states/eV per cell
**Symmetry**: Pm

---

ii | The following is a PBE calculation of a geometry-optimized ScGeO structure, from Alexandria via LeMat-Bulk.

POSCAR file:
```
ScGeO
1.0
3.762 0.000 0.000
0.000 3.762 0.000
0.000 0.000 13.680
Sc Ge O
4 4 4
direct
0.000 0.000 0.319 Sc
0.000 0.000 0.681 Sc
0.500 0.500 0.819 Sc
0.500 0.500 0.181 Sc
0.000 0.500 0.000 Ge
0.500 0.000 0.000 Ge
0.500 0.000 0.500 Ge
0.000 0.500 0.500 Ge
0.000 0.500 0.250 O
0.000 0.500 0.750 O
0.500 0.000 0.750 O
0.500 0.000 0.250 O
```

**Spin magnetization**: 0.0 μB per cell
**Density of states at the Fermi level**: 3.6 states/eV per cell
**Symmetry**: I4/mmm

---

ii takes first place; second place is 1.2 kJ/mol of atoms up.

---

i | The following is a PBE calculation of a geometry-optimized ScGeO structure, from Alexandria via LeMat-Bulk.

POSCAR file:
```
ScGeO
1.0
-4.884 -2.133 -8.883
3.626 -1.419 -1.653
-0.253 -3.498 2.449
Sc Ge O
4 4 4
direct
0.863 0.000 0.658 Sc
0.137 0.000 0.342 Sc
0.863 0.500 0.158 Sc
0.137 0.500 0.842 Sc
0.626 0.000 0.091 Ge
0.374 0.000 0.909 Ge
0.626 0.500 0.591 Ge
0.374 0.500 0.409 Ge
0.089 0.000 0.813 O
0.911 0.000 0.187 O
0.089 0.500 0.313 O
0.911 0.500 0.687 O
```

**Spin magnetization**: 0.0 μB per cell
**Density of states at the Fermi level**: 4.2 states/eV per cell
**Symmetry**: C2/m

---

ii | The following is a PBE calculation of a geometry-optimized ScGeO structure, from Alexandria via LeMat-Bulk.

POSCAR file:
```
ScGeO
1.0
3.763 0.000 0.000
0.000 3.763 0.000
0.000 0.000 6.809
Sc Ge O
2 2 2
direct
0.000 0.500 0.860 Sc
0.500 0.000 0.140 Sc
0.000 0.000 0.500 Ge
0.500 0.500 0.500 Ge
0.000 0.000 0.000 O
0.500 0.500 0.000 O
```

**Spin magnetization**: 0.0 μB per cell
**Density of states at the Fermi level**: 1.7 states/eV per cell
**Symmetry**: P4/nmm

---

iii | The following is a PBE calculation of a geometry-optimized ScGeO structure, from Alexandria via LeMat-Bulk.

POSCAR file:
```
ScGeO
1.0
6.438 0.278 0.000
-0.819 6.391 0.000
-2.809 -3.335 5.812
Sc Ge O
4 4 4
direct
0.697 0.303 0.000 Sc
0.947 0.053 0.500 Sc
0.303 0.697 0.000 Sc
0.553 0.447 0.500 Sc
0.901 0.901 0.802 Ge
0.099 0.099 0.198 Ge
0.151 0.651 0.302 Ge
0.349 0.849 0.698 Ge
0.625 0.375 0.750 O
0.125 0.375 0.750 O
0.625 0.875 0.250 O
0.625 0.375 0.250 O
```

**Spin magnetization**: 0.0 μB per cell
**Density of states at the Fermi level**: 3.6 states/eV per cell
**Symmetry**: Fddd

---

ii takes first place; second place is 11.7 kJ/mol of atoms up.

---

i | The following is a PBE calculation of a geometry-optimized Sc2GeO structure, from Alexandria via LeMat-Bulk.

POSCAR file:
```
Sc2GeO
1.0
0.000 3.198 3.198
3.198 0.000 3.198
3.198 3.198 0.000
Sc Ge O
2 1 1
direct
0.250 0.250 0.250 Sc
0.750 0.750 0.750 Sc
0.500 0.500 0.500 Ge
0.000 0.000 0.000 O
```

**Spin magnetization**: 0.0 μB per cell
**Density of states at the Fermi level**: 0.3 states/eV per cell
**Symmetry**: Fm-3m

---

ii | The following is a PBE calculation of a geometry-optimized Sc2GeO structure, from Alexandria via LeMat-Bulk.

POSCAR file:
```
Sc2GeO
1.0
1.849 0.000 7.879
-0.924 1.601 7.879
-0.924 -1.601 7.879
Sc Ge O
2 1 1
direct
0.887 0.887 0.887 Sc
0.113 0.113 0.113 Sc
0.000 0.000 0.000 Ge
0.500 0.500 0.500 O
```

**Spin magnetization**: 0.0 μB per cell
**Density of states at the Fermi level**: 2.4 states/eV per cell
**Symmetry**: R-3m

---

ii takes first place; second place is 33.5 kJ/mol of atoms up.